Material: Ga3ReNi
Method: DFT, GGA-PBE
State: relaxed

The space group is Pm-3m (No. 221) and the conventional cell measures 4.791, 4.791 and 4.791 Å, with angles of 90.00, 90.00 and 90.00 degrees. The inequivalent atoms are Ga at (0.000, 0.000, 0.500), Re at (0.000, 0.000, 0.000) and Ni at (0.500, 0.500, 0.500).

As for the formation energy: 0.78 eV per atom. The value obtained for the total magnetization is 0.57 μB per formula unit.

***

Material: Ga3ReNi12
Method: DFT, GGA-PBE
State: relaxed

The space group is P4/mmm (No. 123) and the conventional cell measures 3.594, 3.594 and 14.327 Å, with angles of 90.00, 90.00 and 90.00 degrees. The inequivalent atoms are Ga at (0.000, 0.000, 0.000), Ga at (0.000, 0.000, 0.245), Re at (0.000, 0.000, 0.500), Ni at (0.000, 0.500, 0.124), Ni at (0.000, 0.500, 0.376), Ni at (0.500, 0.500, 0.000), Ni at (0.500, 0.500, 0.251) and Ni at (0.500, 0.500, 0.500).

As for the formation energy: -0.22 eV per atom. The value obtained for the total magnetization is 0.42 μB per formula unit.

***

Material: Ga3ReNi
Method: DFT, GGA-PBE
State: relaxed

The space group is Pm-3m (No. 221) and the conventional cell measures 4.458, 4.458 and 4.458 Å, with angles of 90.00, 90.00 and 90.00 degrees. The inequivalent atoms are Ga at (0.000, 0.000, 0.500), Re at (0.500, 0.500, 0.500) and Ni at (0.000, 0.000, 0.000).

As for the formation energy: 0.78 eV per atom. The value obtained for the total magnetization is 2.91 μB per formula unit.

***

Material: GaReNi2Ru
Method: DFT, GGA-PBE
State: relaxed

The space group is P4/mmm (No. 123) and the conventional cell measures 4.534, 4.534 and 4.666 Å, with angles of 90.00, 90.00 and 90.00 degrees. The inequivalent atoms are Ga at (0.000, 0.000, 0.000), Re at (0.500, 0.500, 0.500), Ni at (0.000, 0.500, 0.500) and Ru at (0.500, 0.500, 0.000).

As for the formation energy: 1.32 eV per atom. The value obtained for the total magnetization is 0.34 μB per formula unit.